TeIr2Rh | Alexandria via LeMat-Bulk | PBE | relaxed; crystal system = orthorhombic; volume = 66 Å³/cell; formation energy from raw total energies = 0.385 eV per atom; total moment = 0.00 μB/f.u.; space group = Pmmm
1.0
2.887 0.000 0.000
0.000 4.732 0.000
0.000 0.000 4.816
Te Ir Rh
1 2 1
direct
0.000 0.000 0.000
0.000 0.500 0.500
0.500 0.000 0.500
0.500 0.500 0.000